A:
# YTa2W

A relaxed YTa2W crystal (PBE, Alexandria).

Structure (POSCAR):
```
YTa2W
1.0
0.0000 3.3848 3.3848
3.3848 0.0000 3.3848
3.3848 3.3848 0.0000
Y W Ta
1 1 2
Direct
0.0000 0.0000 0.0000 Y
0.5000 0.5000 0.5000 W
0.2500 0.2500 0.2500 Ta
0.7500 0.7500 0.7500 Ta
```

Values from the calculation:
Total magnetic moment   0.000 μB/f.u.

B:
# YTa2W

A relaxed YTa2W crystal (PBE, Alexandria).

Structure (POSCAR):
```
YTa2W
1.0
3.3275 0.0000 0.0000
0.0000 3.3275 0.0000
0.0000 0.0000 7.4100
Ta W Y
2 1 1
Direct
0.0000 0.0000 0.0473 Ta
0.5000 0.5000 0.2627 Ta
0.0000 0.0000 0.4528 W
0.5000 0.5000 0.7372 Y
```

Values from the calculation:
Total magnetic moment   0.000 μB/f.u.

The winner here is B, beating the second structure by 97 meV/atom.

A:
# YTa2W

A relaxed YTa2W crystal (PBE, Alexandria).

Structure (POSCAR):
```
YTa2W
1.0
5.6723 0.0033 0.0000
-2.7404 4.9665 0.0000
0.0000 0.0000 2.7991
Ta W Y
2 1 1
Direct
0.0000 0.0000 0.0000 Ta
0.5000 0.5000 0.0000 Ta
0.5000 0.0000 0.5000 W
0.0000 0.5000 0.5000 Y
```

Values from the calculation:
Total magnetic moment   0.000 μB/f.u.

B:
# YTa2W

A relaxed YTa2W crystal (PBE, Alexandria).

Structure (POSCAR):
```
YTa2W
1.0
4.6714 0.0000 0.0000
0.0000 2.9160 0.0104
0.0000 1.1899 5.8783
Ta W Y
2 1 1
Direct
0.0000 0.0037 0.0348 Ta
0.5000 0.2836 0.2568 Ta
0.0000 0.4867 0.4651 W
0.5000 0.7259 0.7433 Y
```

Values from the calculation:
Total magnetic moment   0.000 μB/f.u.

C:
# YTa2W

A relaxed YTa2W crystal (PBE, Alexandria).

Structure (POSCAR):
```
YTa2W
1.0
-3.9187 -2.3661 -6.2135
6.6247 -2.0022 -3.4156
1.1374 -4.8816 -3.6514
Y W Ta
2 2 4
Direct
0.5000 0.5000 0.0000 Y
0.2500 0.7500 0.5000 Y
0.0000 0.0000 0.0000 W
0.7500 0.2500 0.5000 W
0.6699 0.1250 0.2500 Ta
0.0801 0.6250 0.2500 Ta
0.3750 0.3301 0.7500 Ta
0.8750 0.9199 0.7500 Ta
```

Values from the calculation:
Total magnetic moment   0.000 μB/f.u.

The winner here is B, beating the second structure by 192 meV/atom.

A:
# YTa2W

A relaxed YTa2W crystal (PBE, Alexandria).

Structure (POSCAR):
```
YTa2W
1.0
2.9378 -0.0021 0.0000
-1.0504 2.7437 0.0000
0.0000 0.0000 9.8007
Ta W Y
2 1 1
Direct
0.0000 0.0000 0.0265 Ta
0.5000 0.5000 0.2592 Ta
0.0000 0.0000 0.4767 W
0.5000 0.5000 0.7376 Y
```

Values from the calculation:
Total magnetic moment   0.000 μB/f.u.

B:
# YTa2W

A relaxed YTa2W crystal (PBE, Alexandria).

Structure (POSCAR):
```
YTa2W
1.0
-2.3656 -4.9671 1.6040
-0.2063 -4.2565 -3.8316
3.3695 3.5922 2.9298
Ta W Y
2 1 1
Direct
0.9950 0.9950 0.0000 Ta
0.7251 0.2251 0.5000 Ta
0.5173 0.5173 0.0000 W
0.2625 0.7625 0.5000 Y
```

Values from the calculation:
Total magnetic moment   0.000 μB/f.u.

The winner here is A, beating the second structure by 62 meV/atom.

A:
# YTa2W

A relaxed YTa2W crystal (PBE, Alexandria).

Structure (POSCAR):
```
YTa2W
1.0
5.6566 0.0199 -0.0040
-2.5620 5.0432 -0.0040
0.4877 0.7980 2.7208
Ta W Y
2 1 1
Direct
0.0000 0.0000 0.0000 Ta
0.5000 0.5000 0.0000 Ta
0.5000 0.0000 0.5000 W
0.0000 0.5000 0.5000 Y
```

Values from the calculation:
Total magnetic moment   0.000 μB/f.u.

B:
# YTa2W

A relaxed YTa2W crystal (PBE, Alexandria).

Structure (POSCAR):
```
YTa2W
1.0
3.2971 0.0000 0.0000
0.0000 3.2971 0.0000
0.0000 0.0000 7.5695
Ta W Y
2 1 1
Direct
0.0000 0.0000 0.0526 Ta
0.0000 0.0000 0.4474 Ta
0.5000 0.5000 0.2500 W
0.5000 0.5000 0.7500 Y
```

Values from the calculation:
Total magnetic moment   0.000 μB/f.u.

C:
# YTa2W

A relaxed YTa2W crystal (PBE, Alexandria).

Structure (POSCAR):
```
YTa2W
1.0
-2.9528 1.1264 3.9490
-3.5956 -1.5235 3.2146
3.9930 -2.0001 3.7221
Ta W Y
2 1 1
Direct
0.0028 0.0028 0.9767 Ta
0.7465 0.7465 0.7466 Ta
0.4994 0.4994 0.5248 W
0.2514 0.2514 0.2519 Y
```

Values from the calculation:
Total magnetic moment   0.000 μB/f.u.

The winner here is B, beating the second structure by 199 meV/atom.

A:
# Y3TaW

A relaxed Y3TaW crystal (PBE, Alexandria).

Structure (POSCAR):
```
Y3TaW
1.0
-0.5717 -4.2059 -3.1761
-1.0583 -3.0381 4.2136
-5.1631 1.0884 -0.5120
Y W Ta
3 1 1
Direct
0.0000 0.5000 0.0000 Y
0.0000 0.0000 0.5000 Y
0.5000 0.0000 0.0000 Y
0.0000 0.0000 0.0000 W
0.5000 0.5000 0.5000 Ta
```

Values from the calculation:
Total magnetic moment   0.001 μB/f.u.

B:
# Y3TaW

A relaxed Y3TaW crystal (PBE, Alexandria).

Structure (POSCAR):
```
Y3TaW
1.0
5.2823 0.0000 0.0000
0.0000 5.2823 0.0000
0.0000 0.0000 5.2823
Y W Ta
3 1 1
Direct
0.0000 0.5000 0.0000 Y
0.0000 0.0000 0.5000 Y
0.5000 0.0000 0.0000 Y
0.5000 0.5000 0.5000 W
0.0000 0.0000 0.0000 Ta
```

Values from the calculation:
Total magnetic moment   0.000 μB/f.u.

The winner here is A, beating the second structure by 345 meV/atom.

A:
# YTaW

A relaxed YTaW crystal (PBE, Alexandria).

Structure (POSCAR):
```
YTaW
1.0
-0.8435 4.5362 -0.2347
-4.3543 1.5337 -0.1772
-1.8232 2.2014 3.6296
Ta W Y
1 1 1
Direct
0.5000 0.5000 0.5000 Ta
0.7500 0.7500 0.7500 W
0.0000 0.0000 0.0000 Y
```

Values from the calculation:
Total magnetic moment   0.000 μB/f.u.

B:
# YTaW

A relaxed YTaW crystal (PBE, Alexandria).

Structure (POSCAR):
```
YTaW
1.0
-6.6371 -1.0418 3.8225
-7.2618 -1.6502 0.9360
0.3889 -2.5082 1.6277
Ta W Y
1 1 1
Direct
0.9824 0.9824 0.0176 Ta
0.3456 0.3456 0.6544 W
0.6720 0.6720 0.3280 Y
```

Values from the calculation:
Total magnetic moment   0.000 μB/f.u.

The winner here is B, beating the second structure by 405 meV/atom.

A:
# YTaW

A relaxed YTaW crystal (PBE, Alexandria).

Structure (POSCAR):
```
YTaW
1.0
4.7969 0.0000 0.0000
-2.3985 4.1543 0.0000
0.0000 0.0000 3.0454
Ta W Y
1 1 1
Direct
0.0000 0.0000 0.0600 Ta
0.3333 0.6667 0.2830 W
0.6667 0.3333 0.6571 Y
```

Values from the calculation:
Total magnetic moment   0.000 μB/f.u.

B:
# YTaW

A relaxed YTaW crystal (PBE, Alexandria).

Structure (POSCAR):
```
YTaW
1.0
7.8277 0.0076 0.0000
6.7992 3.8787 0.0000
-7.3134 -1.9431 2.0027
Ta W Y
1 1 1
Direct
0.9895 0.9895 0.0000 Ta
0.3387 0.3387 0.0000 W
0.6718 0.6718 0.0000 Y
```

Values from the calculation:
Total magnetic moment   0.000 μB/f.u.

The winner here is A, beating the second structure by 157 meV/atom.

A:
# YTaW

A relaxed YTaW crystal (PBE, Alexandria).

Structure (POSCAR):
```
YTaW
1.0
5.1176 -0.0088 -0.0038
1.8780 4.7606 0.0038
-2.6784 -3.5822 2.4867
Ta W Y
1 1 1
Direct
0.0059 0.0059 0.0000 Ta
0.3273 0.3273 0.0000 W
0.6668 0.6668 0.0000 Y
```

Values from the calculation:
Total magnetic moment   0.000 μB/f.u.

B:
# YTaW

A relaxed YTaW crystal (PBE, Alexandria).

Structure (POSCAR):
```
YTaW
1.0
-4.1405 -2.6766 -3.3923
-2.5839 -5.3903 0.2905
1.6213 4.9437 2.9575
Ta W Y
1 1 1
Direct
0.9695 0.9695 0.0000 Ta
0.3589 0.3589 0.0000 W
0.6716 0.6716 0.0000 Y
```

Values from the calculation:
Total magnetic moment   0.000 μB/f.u.

The winner here is B, beating the second structure by 323 meV/atom.

A:
# Ta3ZnW

A relaxed Ta3ZnW crystal (PBE, Alexandria).

Structure (POSCAR):
```
Ta3ZnW
1.0
4.8671 0.0000 0.0000
0.0000 4.8671 0.0000
0.0000 0.0000 4.8671
Zn W Ta
1 1 3
Direct
0.5000 0.5000 0.5000 Zn
0.0000 0.0000 0.0000 W
0.0000 0.5000 0.0000 Ta
0.0000 0.0000 0.5000 Ta
0.5000 0.0000 0.0000 Ta
```

Values from the calculation:
Total magnetic moment   0.000 μB/f.u.

B:
# Ta3ZnW

A relaxed Ta3ZnW crystal (PBE, Alexandria).

Structure (POSCAR):
```
Ta3ZnW
1.0
4.6252 0.0000 0.0000
0.0000 4.6252 0.0000
0.0000 0.0000 4.6252
Zn W Ta
1 1 3
Direct
0.0000 0.0000 0.0000 Zn
0.5000 0.5000 0.5000 W
0.0000 0.5000 0.0000 Ta
0.0000 0.0000 0.5000 Ta
0.5000 0.0000 0.0000 Ta
```

Values from the calculation:
Total magnetic moment   0.000 μB/f.u.

The winner here is B, beating the second structure by 23 meV/atom.

A:
# ZrTaW2

A relaxed ZrTaW2 crystal (PBE, Alexandria).

Structure (POSCAR):
```
ZrTaW2
1.0
-0.4182 -1.7164 2.7043
2.4847 -1.8949 -0.8184
4.3349 4.2341 3.3577
Ta W Zr
1 2 1
Direct
0.5000 0.5000 0.7713 Ta
0.0000 0.0000 0.0088 W
0.5000 0.5000 0.2264 W
0.0000 0.0000 0.4936 Zr
```

Values from the calculation:
Total magnetic moment   0.000 μB/f.u.

B:
# ZrTaW2

A relaxed ZrTaW2 crystal (PBE, Alexandria).

Structure (POSCAR):
```
ZrTaW2
1.0
-1.9628 3.1626 2.7331
0.0774 -1.8523 2.1990
4.9004 1.1841 2.1491
Ta W Zr
1 2 1
Direct
0.5000 0.7648 0.7576 Ta
0.0000 0.0082 0.0052 W
0.5000 0.2373 0.2390 W
0.0000 0.4897 0.4982 Zr
```

Values from the calculation:
Total magnetic moment   0.000 μB/f.u.

The winner here is A, beating the second structure by 32 meV/atom.

A:
# YTa

A relaxed YTa crystal (PBE, Alexandria).

Structure (POSCAR):
```
YTa
1.0
-0.0742 0.4540 -3.1107
-2.9378 -0.4108 1.0435
-0.8877 10.1732 1.5060
Ta Y
2 2
Direct
0.0000 0.0000 0.9711 Ta
0.5000 0.5000 0.7789 Ta
0.0000 0.0000 0.5341 Y
0.5000 0.5000 0.2159 Y
```

Values from the calculation:
Total magnetic moment   0.000 μB/f.u.

B:
# YTa

A relaxed YTa crystal (PBE, Alexandria).

Structure (POSCAR):
```
YTa
1.0
-1.0850 4.5749 3.2749
-6.4943 -9.0903 10.5471
8.1843 -1.0306 4.1512
Y Ta
16 16
Direct
0.0000 0.0000 0.6686 Y
0.0000 0.0000 0.3314 Y
0.2500 0.7500 0.5814 Y
0.2500 0.7500 0.9186 Y
0.0000 0.5000 0.1686 Y
0.0000 0.5000 0.8314 Y
0.2500 0.2500 0.0814 Y
0.2500 0.2500 0.4186 Y
0.5000 0.0000 0.1686 Y
0.5000 0.0000 0.8314 Y
0.7500 0.7500 0.0814 Y
0.7500 0.7500 0.4186 Y
0.5000 0.5000 0.6686 Y
0.5000 0.5000 0.3314 Y
0.7500 0.2500 0.5814 Y
0.7500 0.2500 0.9186 Y
0.0000 0.0791 0.0000 Ta
0.0000 0.9209 0.0000 Ta
0.2500 0.6709 0.2500 Ta
0.2500 0.8291 0.2500 Ta
0.0000 0.5791 0.5000 Ta
0.0000 0.4209 0.5000 Ta
0.2500 0.1709 0.7500 Ta
0.2500 0.3291 0.7500 Ta
0.5000 0.0791 0.5000 Ta
0.5000 0.9209 0.5000 Ta
0.7500 0.6709 0.7500 Ta
0.7500 0.8291 0.7500 Ta
0.5000 0.5791 0.0000 Ta
0.5000 0.4209 0.0000 Ta
0.7500 0.1709 0.2500 Ta
0.7500 0.3291 0.2500 Ta
```

Values from the calculation:
Total magnetic moment   0.000 μB/f.u.

C:
# YTa

A relaxed YTa crystal (PBE, Alexandria).

Structure (POSCAR):
```
YTa
1.0
-4.4772 -5.4976 3.3584
-1.7062 -6.0695 4.6688
-2.0820 2.5720 5.5253
Y Ta
3 3
Direct
0.3092 0.3092 0.3471 Y
0.9708 0.9708 0.6010 Y
0.2652 0.2652 0.8913 Y
0.0238 0.0238 0.0457 Ta
0.6259 0.6259 0.2635 Ta
0.6386 0.6386 0.6847 Ta
```

Values from the calculation:
Total magnetic moment   0.000 μB/f.u.

The winner here is A, beating the second structure by 54 meV/atom.

A:
# YTa

A relaxed YTa crystal (PBE, Alexandria).

Structure (POSCAR):
```
YTa
1.0
-0.3182 1.5074 -3.0093
2.3368 -2.4015 0.4490
-6.6079 -6.9498 -2.7825
Ta Y
2 2
Direct
0.0000 0.0000 0.0291 Ta
0.3333 0.6667 0.2209 Ta
0.0000 0.0000 0.4699 Y
0.3333 0.6667 0.7801 Y
```

Values from the calculation:
Total magnetic moment   0.001 μB/f.u.

B:
# YTa

A relaxed YTa crystal (PBE, Alexandria).

Structure (POSCAR):
```
YTa
1.0
3.0149 0.0000 0.0000
0.0000 3.0149 0.0000
0.0000 0.0000 5.0739
Ta Y
1 1
Direct
0.0000 0.0000 0.0000 Ta
0.5000 0.5000 0.5000 Y
```

Values from the calculation:
Total magnetic moment   0.000 μB/f.u.

The winner here is A, beating the second structure by 68 meV/atom.